No. 1
Here is crystalline Pm12Sm3Hg at its relaxed geometry from Alexandria. Energies are from PBE. Values from VASP.

Quantum ESPRESSO input file:
```
&SYSTEM
  ibrav = 0, nat = 16, ntyp = 3
/
ATOMIC_SPECIES
Hg 200.59 Hg.upf
Pm 145.00 Pm.upf
Sm 150.36 Sm.upf
CELL_PARAMETERS angstrom
5.0743 0.0000 0.0000
0.0000 5.0743 0.0000
0.0000 0.0000 20.5944
ATOMIC_POSITIONS angstrom
Hg 0.0000 0.0000 0.0000
Pm 0.0000 2.5371 2.4678
Pm 2.5371 2.5371 5.0179
Pm 0.0000 2.5371 12.9112
Sm 0.0000 0.0000 10.2972
Pm 2.5371 2.5371 15.5765
Sm 0.0000 0.0000 5.0782
Pm 0.0000 2.5371 7.6832
Pm 2.5371 0.0000 7.6832
Sm 0.0000 0.0000 15.5163
Pm 2.5371 2.5371 0.0000
Pm 2.5371 0.0000 12.9112
Pm 0.0000 2.5371 18.1266
Pm 2.5371 0.0000 18.1266
Pm 2.5371 2.5371 10.2972
Pm 2.5371 0.0000 2.4678
```

The calculation puts the formation energy at -0.3 eV per formula unit. The total magnetization comes out at 0.00 Bohr magnetons per cell.

---

No. 2
Here is crystalline PmSm3Hg4 at its relaxed geometry from Alexandria. Energies are from PBE. Values from VASP.

Quantum ESPRESSO input file:
```
&SYSTEM
  ibrav = 0, nat = 16, ntyp = 3
/
ATOMIC_SPECIES
Hg 200.59 Hg.upf
Sm 150.36 Sm.upf
Pm 145.00 Pm.upf
CELL_PARAMETERS angstrom
-3.0938 -0.7585 4.2937
-5.8136 -2.0698 -4.5546
3.2183 -10.1837 0.5200
ATOMIC_POSITIONS angstrom
Hg -2.9928 -0.8940 1.0140
Hg -6.6508 -4.8579 0.9930
Hg -4.3054 -7.0261 -1.0150
Sm -3.6440 -3.9588 -0.0075
Pm -1.2976 -6.1268 -2.0173
Sm 1.6092 -5.0919 0.2600
Hg -1.9604 -9.1944 -3.0232
Sm -2.0450 -9.0532 0.2666
Hg -5.9146 -1.9343 -1.2750
Hg 0.9617 -8.1541 -0.7339
Sm 0.8617 -8.0183 2.5439
Hg -1.3837 -5.9859 1.2740
Hg -3.7287 -3.8176 3.2823
Sm -0.7372 -2.9239 2.2698
Sm 0.0000 0.0000 0.0000
Pm -2.9068 -1.0349 -2.2773
```

The calculation puts the formation energy at -3.8 eV per formula unit. The total magnetization comes out at 3.36 Bohr magnetons per cell.

---

No. 3
Here is crystalline Pm2SmHg at its relaxed geometry from Alexandria. Energies are from PBE. Values from VASP.

Quantum ESPRESSO input file:
```
&SYSTEM
  ibrav = 0, nat = 4, ntyp = 3
/
ATOMIC_SPECIES
Sm 150.36 Sm.upf
Hg 200.59 Hg.upf
Pm 145.00 Pm.upf
CELL_PARAMETERS angstrom
3.7152 0.0000 0.0000
1.8576 3.2174 0.0000
1.8576 1.0725 10.7867
ATOMIC_POSITIONS angstrom
Sm 3.7152 2.1449 5.3966
Hg 5.5727 3.2174 10.7856
Pm 1.8576 1.0725 2.4487
Pm 1.8576 1.0725 8.3359
```

The calculation puts the formation energy at -0.6 eV per formula unit. The total magnetization comes out at 0.00 Bohr magnetons per cell.

---

No. 4
Here is crystalline Pm4Sm3Hg4 at its relaxed geometry from Alexandria. Energies are from PBE. Values from VASP.

Quantum ESPRESSO input file:
```
&SYSTEM
  ibrav = 0, nat = 11, ntyp = 3
/
ATOMIC_SPECIES
Hg 200.59 Hg.upf
Pm 145.00 Pm.upf
Sm 150.36 Sm.upf
CELL_PARAMETERS angstrom
-3.1112 3.3429 -1.2212
-6.3818 -5.5757 0.9957
4.0220 3.3838 8.1653
ATOMIC_POSITIONS angstrom
Hg -2.7046 0.6676 -0.4313
Hg -3.5261 -1.7390 4.2231
Pm -3.7138 0.7586 2.3887
Sm -5.3114 0.6513 6.1651
Sm -3.1909 -2.7879 0.4979
Hg -1.9450 2.8899 3.7167
Pm -6.2652 -1.4706 2.7868
Pm 0.7941 2.6215 5.1530
Pm -1.7573 0.3924 5.5511
Sm -0.1597 0.4997 1.7747
Hg -6.7884 -2.9004 0.2059
```

The calculation puts the formation energy at -2.5 eV per formula unit. The total magnetization comes out at 0.00 Bohr magnetons per cell.

---

No. 5
Here is crystalline Pm3SmHg12 at its relaxed geometry from Alexandria. Energies are from PBE. Values from VASP.

Quantum ESPRESSO input file:
```
&SYSTEM
  ibrav = 0, nat = 16, ntyp = 3
/
ATOMIC_SPECIES
Hg 200.59 Hg.upf
Pm 145.00 Pm.upf
Sm 150.36 Sm.upf
CELL_PARAMETERS angstrom
-1.2993 -2.1545 3.9057
4.4473 -0.9389 0.9616
1.4052 16.4014 9.5151
ATOMIC_POSITIONS angstrom
Hg -0.4748 0.9632 3.1366
Hg 2.2766 6.6540 7.1912
Hg 0.5808 13.2837 10.2841
Hg 3.4541 13.8915 8.8121
Pm 1.0546 12.3089 7.1408
Pm 0.7026 8.2007 4.7575
Pm 0.3506 4.0925 2.3742
Hg 2.7503 5.6770 4.0466
Hg 1.5740 -1.5467 2.4336
Hg 3.1023 9.7855 6.4301
Hg 0.2290 9.1777 7.9021
Hg 2.6286 10.7619 9.5743
Hg 2.3985 1.5711 1.6646
Sm 0.0000 0.0000 0.0000
Hg 1.9247 2.5461 4.8080
Hg -0.1230 5.0692 5.5186
```

The calculation puts the formation energy at -5.5 eV per formula unit. The total magnetization comes out at 0.00 Bohr magnetons per cell.

---

No. 6
Here is crystalline Pm2SmHg4 at its relaxed geometry from Alexandria. Energies are from PBE. Values from VASP.

Quantum ESPRESSO input file:
```
&SYSTEM
  ibrav = 0, nat = 7, ntyp = 3
/
ATOMIC_SPECIES
Hg 200.59 Hg.upf
Pm 145.00 Pm.upf
Sm 150.36 Sm.upf
CELL_PARAMETERS angstrom
-1.3783 -0.6251 5.5112
-2.8856 -4.7690 -1.2626
8.6276 -1.5363 -0.9800
ATOMIC_POSITIONS angstrom
Hg -1.4428 -2.3845 -0.6313
Hg 2.5586 -1.6675 0.4507
Hg -0.6891 -0.3125 2.7556
Pm -0.7922 -3.5702 2.3603
Hg 1.8051 -5.2629 2.8179
Sm 0.0000 0.0000 0.0000
Pm 5.1559 -3.3602 0.9083
```

The calculation puts the formation energy at 0.0 eV per formula unit. The total magnetization comes out at 0.00 Bohr magnetons per cell.